Record 1
Below is crystalline TlAg2AsO4 at its relaxed geometry, with properties calculated at the PBE-GGA level.

Fermi-level density of states = 0.0000 states/eV/atom
ΔE_f (raw) = -0.777 eV per atom
Total energy = -38.76 eV/f.u.
Density = 6.96 g cm⁻³
Total moment = 0.0 μB/cell

a b c (Å): 5.944 5.944 7.551
angles (deg): 90.00 90.00 90.00
Space group I-42m (No. 121)
Inequivalent atoms, fractional coordinates:
Tl: 0.000 0.000 0.000 [2 per cell]
Ag: 0.000 0.500 0.250 [4 per cell]
As: 0.000 0.000 0.500 [2 per cell]
O: 0.170 0.170 0.368 [8 per cell]


Record 2
Below is crystalline Y3Ga2Rh at its relaxed geometry, with properties calculated at the PBE-GGA level.

Fermi-level density of states = 0.9893 states/eV/atom
E_form = -0.69 eV/atom
Total energy = -36.96 eV/f.u.
Density = 5.94 g cm⁻³
Total moment = 0.0 μB/cell

a b c (Å): 11.838 4.277 11.241
angles (deg): 90.00 90.00 90.00
Space group Pnma (No. 62)
Inequivalent atoms, fractional coordinates:
Y: 0.049 0.250 0.125 [4 per cell]
Y: 0.117 0.750 0.559 [4 per cell]
Y: 0.227 0.250 0.803 [4 per cell]
Ga: 0.011 0.750 0.304 [4 per cell]
Ga: 0.192 0.750 0.009 [4 per cell]
Rh: 0.124 0.250 0.379 [4 per cell]


Record 3
Below is crystalline CoTeRh2 at its relaxed geometry, with properties calculated at the PBE-GGA level.

Fermi-level density of states = 1.2570 states/eV/atom
ΔE_f (raw) = 0.270 eV per atom
Total energy = -23.87 eV/f.u.
Density = 9.92 g cm⁻³
Total moment = 6.3 μB/cell

a b c (Å): 3.826 3.826 17.941
angles (deg): 90.00 90.00 90.00
Space group I-42d (No. 122)
Inequivalent atoms, fractional coordinates:
Co: 0.000 0.000 0.000 [4 per cell]
Te: 0.000 0.000 0.500 [4 per cell]
Rh: 0.232 0.250 0.125 [8 per cell]


Record 4
Below is crystalline ZrCu at its relaxed geometry, with properties calculated at the PBE-GGA level.

Fermi-level density of states = 1.0445 states/eV/atom
E_form = 0.18 eV/atom
Total energy = -12.28 eV/f.u.
Density = 7.02 g cm⁻³
Total moment = 0.0 μB/cell

a b c (Å): 3.0865 3.0865 8.8761
angles (deg): 90.00 90.00 120.00
Space group P6_3/mmc (No. 194)
Inequivalent atoms, fractional coordinates:
Zr: 0.0000 0.0000 0.0000 [2 per cell]
Cu: 0.3333 0.6667 0.2500 [2 per cell]


Record 5
Below is crystalline Pr4NdY5 at its relaxed geometry, with properties calculated at the PBE-GGA level.

Fermi-level density of states = 1.4379 states/eV/atom
E_form = 0.01 eV/atom
Total energy = -56.07 eV/f.u.
Density = 5.62 g cm⁻³
Total moment = 0.0 μB/cell

a b c (Å): 3.657 3.657 25.479
angles (deg): 90.00 90.00 90.00
Space group P4/mmm (No. 123)
Inequivalent atoms, fractional coordinates:
Pr: 0.000 0.000 0.100 [2 per cell]
Pr: 0.000 0.000 0.300 [2 per cell]
Nd: 0.000 0.000 0.500 [1 per cell]
Y: 0.500 0.500 0.000 [1 per cell]
Y: 0.500 0.500 0.200 [2 per cell]
Y: 0.500 0.500 0.401 [2 per cell]


Record 6
Below is crystalline Tl5Hg4Pb at its relaxed geometry, with properties calculated at the PBE-GGA level.

Fermi-level density of states = 0.4652 states/eV/atom
E_form = 0.00 eV/atom
Total energy = -16.75 eV/f.u.
Density = 11.50 g cm⁻³
Total moment = 0.0 μB/cell

a b c (Å): 3.948 3.948 18.819
angles (deg): 90.00 90.00 90.00
Space group P4/mmm (No. 123)
Inequivalent atoms, fractional coordinates:
Tl: 0.000 0.000 0.000 [1 per cell]
Tl: 0.000 0.000 0.195 [2 per cell]
Tl: 0.000 0.000 0.390 [2 per cell]
Hg: 0.500 0.500 0.096 [2 per cell]
Hg: 0.500 0.500 0.294 [2 per cell]
Pb: 0.500 0.500 0.500 [1 per cell]


Record 7
Below is crystalline BeFe2Si2 at its relaxed geometry, with properties calculated at the PBE-GGA level.

Fermi-level density of states = 0.6662 states/eV/atom
Excess energy over the best structure of this formula in the dataset = 0.015 eV per atom
ΔE_f (raw) = -0.195 eV per atom
Total energy = -32.47 eV/f.u.
Density = 5.29 g cm⁻³
Total moment = 0.0 μB/cell

a b c (Å): 6.345 6.345 2.760
angles (deg): 90.00 90.00 90.00
Space group P4/mbm (No. 127)
Inequivalent atoms, fractional coordinates:
Be: 0.000 0.000 0.000 [2 per cell]
Fe: 0.151 0.349 0.000 [4 per cell]
Si: 0.148 0.648 0.500 [4 per cell]


Record 8
Below is crystalline SmDy2Te at its relaxed geometry, with properties calculated at the PBE-GGA level.

Fermi-level density of states = 1.2704 states/eV/atom
Excess energy over the best structure of this formula in the dataset = 0.427 eV per atom
ΔE_f (raw) = -0.232 eV per atom
Total energy = -17.99 eV/f.u.
Density = 7.31 g cm⁻³
Total moment = 4.2 μB/cell

a b c (Å): 3.8329 3.8329 32.2854
angles (deg): 90.00 90.00 120.00
Space group R-3m (No. 166, hexagonal axes)
Inequivalent atoms, fractional coordinates:
Sm: 0.0000 0.0000 0.0000 [3 per cell]
Dy: 0.0000 0.0000 0.1030 [6 per cell]
Te: 0.0000 0.0000 0.5000 [3 per cell]